Record 1
Computed, not measured: a relaxed Ba2HoGeO6 crystal at the GGA-PBE level of DFT.

The calculation puts the calculated total energy at -0.250 Ha/atom.

The space group is Fm-3m (No. 225) and the conventional cell measures 8.3550, 8.3550 and 8.3550 Å, with angles of 90.00, 90.00 and 90.00 degrees. The asymmetric unit holds Ba at (0.2500, 0.2500, 0.2500), Ho at (0.0000, 0.0000, 0.0000), Ge at (0.0000, 0.0000, 0.5000) and O at (0.0000, 0.0000, 0.2681).

=====

Record 2
Computed, not measured: a relaxed Ba3HoGe2O9 crystal at the GGA-PBE level of DFT.

The calculation puts the calculated total energy at -0.245 Ha/atom.

The space group is P-3m1 (No. 164) and the conventional cell measures 5.8200, 5.8200 and 7.1621 Å, with angles of 90.00, 90.00 and 120.00 degrees. The asymmetric unit holds Ba at (0.0000, 0.0000, 0.0000), Ba at (0.3333, 0.6667, 0.6793), Ho at (0.0000, 0.0000, 0.5000), Ge at (0.3333, 0.6667, 0.1718), O at (0.0000, 0.5000, 0.0000) and O at (0.1775, 0.3551, 0.3150).

=====

Record 3
Computed, not measured: a relaxed Ba3HoGe2O8 crystal at the GGA-PBE level of DFT.

The calculation puts the calculated total energy at -0.244 Ha/atom.

The space group is P-3m1 (No. 164) and the conventional cell measures 6.0197, 6.0197 and 7.6894 Å, with angles of 90.00, 90.00 and 120.00 degrees. The asymmetric unit holds Ba at (0.0000, 0.0000, 0.0000), Ba at (0.3333, 0.6667, 0.6669), Ho at (0.0000, 0.0000, 0.5000), Ge at (0.3333, 0.6667, 0.2198), O at (0.1721, 0.3443, 0.3230) and O at (0.3333, 0.6667, 0.9904).

=====

| no. | DOS at the Fermi energy (states/eV/atom) | magnetization (μB/atom) |
| --- | --- | --- |
| 1 | 0.6812 | 0.0909 |
| 2 | 0.5982 | 0.0509 |
| 3 | 0.2341 | 0.0000 |